YCrCd: PBEsol geometry, meta-GGA SCAN.

## Properties
formation enthalpy at 0 K	258.1	meV/atom
spin magnetization	3.610	μB/f.u.
D(E_F)	0.71	states/eV/atom
E_tot	-75.9	eV for the cell shown

Cell: 3.3188 3.3188 7.0298 Å, 90.00 90.00 120.00°
Last column: nearest neighbours and their distance in Å.
Fractional positions:
Y 0.0000 0.0000 0.0000  3 Cr 3.01, 3 Cd 3.23, 6 Y 3.32
Cr 0.6667 0.3333 0.3295  3 Cd 2.86, 3 Y 3.01
Cd 0.3333 0.6667 0.6306  3 Cr 2.86